Hf2TcRh: optimized geometry, PBE-GGA.

```
Hf2TcRh
1.0
-2.5838 1.8052 -0.9037
-1.8417 -2.7090 -0.1457
-1.6285 0.7736 6.2014
Rh Hf Tc
1 2 1
Cartesian
-3.0270 -0.0651 2.5760
-1.2295 0.5841 4.6822
-0.3989 0.1895 1.5192
-2.2128 -0.4519 -0.5247
```

Computed properties:
Offset from the most stable computed form ... 0 meV/atom
ΔH_f (0 K) ... -3.212 eV/f.u.
Space-group type ... No. 123